Entry 1:
## Ce2SmHo (PBE)

Data for an optimized crystal structure of Ce2SmHo.

Its symmetry is P4/mmm. The energy of formation from the pure elements is 0.44 eV/f.u. The calculated total energy is -5.182 eV/atom. Its relative energy among the computed polymorphs is 8 meV/atom.

abc: 5.0800 4.9192 4.9192
angles: 90.00 90.00 90.00
Each line ends with the local moment (μB).
Fractional coordinates of all 4 atoms:
1 Sm 0.5000 0.0000 0.0000  0.01
2 Ce 0.0000 0.0000 0.5000  0.63
3 Ce 0.0000 0.5000 0.0000  0.63
4 Ho 0.5000 0.5000 0.5000  0.03

---

Entry 2:
## Sr3EuIr (PBE)

Data for an optimized crystal structure of Sr3EuIr.

Its symmetry is Pm-3m. The energy of formation from the pure elements is -0.29 eV/f.u. The calculated total energy is -4.893 eV/atom.

abc: 5.9631 5.9631 5.9631
angles: 90.00 90.00 90.00
Each line ends with the local moment (μB).
Fractional coordinates of all 5 atoms:
1 Eu 0.5000 0.5000 0.5000  7.03
2 Sr 0.0000 0.5000 0.0000  0.01
3 Ir 0.0000 0.0000 0.0000  -0.01
4 Sr 0.0000 0.0000 0.5000  0.01
5 Sr 0.5000 0.0000 0.0000  0.01

---

Entry 3:
## LiHoEr2Te4 (PBE)

Data for an optimized crystal structure of LiHoEr2Te4.

Its symmetry is P2/m. Its formation energy without anion corrections is -1.274 eV per atom. The calculated total energy is -4.797 eV/atom.

abc: 4.2873 7.4788 7.4713
angles: 109.15 90.00 90.00
Fractional coordinates of all 8 atoms:
1 Li 0.0000 0.0000 0.0000
2 Te 0.0000 0.2445 0.7537
3 Te 0.0000 0.7555 0.2463
4 Er 0.5000 0.0000 0.5000
5 Er 0.0000 0.5000 0.5000
6 Te 0.5000 0.2429 0.2438
7 Te 0.5000 0.7571 0.7562
8 Ho 0.5000 0.5000 0.0000